This record from the Alexandria database describes ErTmTl2 at its PBEsol-relaxed geometry. The functional is meta-GGA SCAN.

Output
Calculated formation energy   -0.489 eV/atom

Cell lengths 7.3763, 7.3763, 7.3763 Å; angles 90.00, 90.00, 90.00 degrees
Space group Fm-3m (No. 225)
Inequivalent atoms, fractional coordinates:
Er 0.0000 0.0000 0.0000 (multiplicity 4)
Tm 0.0000 0.0000 0.5000 (multiplicity 4)
Tl 0.2500 0.2500 0.2500 (multiplicity 8)